The following is a PBE-GGA calculation of a relaxed structure of SrCaNb, from the Alexandria database.

The energy comes out at -11.62 eV/cell. As for the space group: No. 107.

Cell: 8.575 8.575 8.575 Å, 157.39 157.39 32.20°
Fractional coordinates of all 3 atoms:
1 Sr 0.000 0.000 0.000
2 Ca 0.713 0.713 0.000
3 Nb 0.350 0.350 0.000

The following is a PBE-GGA calculation of a relaxed structure of SrCaNb, from the Alexandria database.

The energy comes out at -24.89 eV/cell. As for the space group: No. 1.

Cell: 3.596 6.429 9.749 Å, 102.52 100.56 106.15°
Fractional coordinates of all 6 atoms:
1 Sr 0.000 0.000 0.000
2 Sr 0.218 0.870 0.572
3 Ca 0.124 0.441 0.808
4 Ca 0.341 0.313 0.373
5 Nb 0.524 0.795 0.254
6 Nb 0.816 0.512 0.123